Below is crystalline Y2CoSi4Pt at its relaxed geometry, with properties calculated at the PBE level.

Lattice parameters (Å, degrees): 4.1018 4.0645 16.5428 90.00 90.00 90.00
Last column: nearest neighbours and their distance in Å.
Element x y z (fractional)
Y: 0.0000 0.0000 0.0000  10 Si 3.03-3.06, 4 Co 3.13
Y: 0.0000 0.5000 0.5000  10 Si 3.03-3.06, 4 Co 3.13
Y: 0.5000 0.0000 0.2077  10 Si 3.11-3.31, 4 Pt 3.13
Y: 0.5000 0.5000 0.7077  10 Si 3.11-3.31, 4 Pt 3.13
Co: 0.5000 0.0000 0.4265  5 Si 2.23-2.29
Co: 0.5000 0.5000 0.9265  5 Si 2.23-2.29
Si: 0.0000 0.0000 0.3645  2 Co 2.29, 2 Pt 2.46
Si: 0.0000 0.0000 0.6375  1 Pt 2.37, 2 Si 2.41
Si: 0.0000 0.5000 0.1375  1 Pt 2.37, 2 Si 2.41
Si: 0.0000 0.5000 0.8645  2 Co 2.29, 2 Pt 2.46
Si: 0.5000 0.0000 0.5615  1 Co 2.23, 2 Si 2.41
Si: 0.5000 0.0000 0.8627  2 Co 2.29, 2 Pt 2.46
Si: 0.5000 0.5000 0.0615  1 Co 2.23, 2 Si 2.41
Si: 0.5000 0.5000 0.3627  2 Co 2.29, 2 Pt 2.46
Pt: 0.0000 0.0000 0.7809  5 Si 2.37-2.46
Pt: 0.0000 0.5000 0.2809  5 Si 2.37-2.46

## Properties
The space group is No. 38.

***

Below is crystalline LiFeP at its relaxed geometry, with properties calculated at the PBE level.

Lattice parameters (Å, degrees): 2.8424 2.8424 7.8198 90.00 90.00 90.00
Last column: nearest neighbours and their distance in Å.
Element x y z (fractional)
Li: 0.0000 0.0000 0.0000  5 P 2.44-2.52, 5 Fe 2.45-2.48
Li: 0.5000 0.5000 0.5000  5 P 2.44-2.52, 5 Fe 2.45-2.48
Fe: 0.0000 0.0000 0.6867  4 P 2.27, 5 Li 2.45-2.48
Fe: 0.5000 0.5000 0.1867  4 P 2.27, 5 Li 2.45-2.48
P: 0.0000 0.0000 0.3222  4 Fe 2.27, 5 Li 2.44-2.52
P: 0.5000 0.5000 0.8222  4 Fe 2.27, 5 Li 2.44-2.52

## Properties
The space group is No. 107.

***

Below is crystalline P5Au4 at its relaxed geometry, with properties calculated at the PBE level.

Lattice parameters (Å, degrees): 7.1879 7.1879 4.6888 90.00 90.00 120.00
Last column: nearest neighbours and their distance in Å.
Element x y z (fractional)
P: 0.0000 0.0000 0.0000  2 Au 2.34
P: 0.3333 0.6667 0.2708  1 P 2.15
P: 0.3333 0.6667 0.7292  1 P 2.15
P: 0.6667 0.3333 0.2708  1 P 2.15
P: 0.6667 0.3333 0.7292  1 P 2.15
Au: 0.0000 0.0000 0.5000  2 P 2.34
Au: 0.0000 0.5000 0.0000  4 P 2.43
Au: 0.5000 0.0000 0.0000  4 P 2.43
Au: 0.5000 0.5000 0.0000  4 P 2.43

## Properties
The space group is No. 191.

***

| no. | VASP energy (eV per cell) |
| --- | --- |
| 1 | -109.7 |
| 2 | -33.2 |
| 3 | -37.5 |